# 1
# Sb2PbSe2, relaxed, DFT PBE
data_Sb2PbSe2
_cell_length_a 8.6710
_cell_length_b 8.6710
_cell_length_c 3.7607
_cell_angle_alpha 90.00
_cell_angle_beta 90.00
_cell_angle_gamma 90.00
_space_group_name_H-M_alt 'P 4/m b m'
_space_group_IT_number 127
_space_group_name_Hall '-P 4 2ab'
loop_
_atom_site_label
_atom_site_type_symbol
_atom_site_fract_x
_atom_site_fract_y
_atom_site_fract_z
Sb1 Sb 0.1939 0.3061 0.0000
Pb1 Pb 0.0000 0.0000 0.5000
Se1 Se 0.1454 0.6454 0.5000
# * energy above the most stable polymorph in this dataset: 0.024 eV/atom
# * E_tot: -3.79 eV/atom
# * calculated volume: 141.4 Å³/f.u.
# * magnetization: 0.00 μB/f.u.

# 2
# SbPb4Se, relaxed, DFT PBE
data_SbPb4Se
_cell_length_a 9.1113
_cell_length_b 9.1113
_cell_length_c 9.1113
_cell_angle_alpha 90.00
_cell_angle_beta 90.00
_cell_angle_gamma 90.00
_space_group_name_H-M_alt 'F -4 3 m'
_space_group_IT_number 216
_space_group_name_Hall 'F -4 2 3'
loop_
_atom_site_label
_atom_site_type_symbol
_atom_site_fract_x
_atom_site_fract_y
_atom_site_fract_z
Sb1 Sb 0.0000 0.0000 0.0000
Pb1 Pb 0.1251 0.1251 0.3749
Se1 Se 0.2500 0.2500 0.7500
# * E_tot: -3.45 eV/atom
# * calculated volume: 189.1 Å³/f.u.
# * magnetization: 0.00 μB/f.u.